Record 1
Computed, not measured: crystalline Si3C at its relaxed geometry at the PBE level of DFT.

Output
Raw formation energy, eV per atom: 0.65
Fermi-level density of states, states/eV/cell: 2.79
M_tot, μB/cell: 0.00
Offset from the most stable computed form, kJ per mole of atoms: 45.4
V, Å³/cell: 205.1

Cell: 5.0747 7.3107 5.5281 Å, 90.00 90.00 90.00°
Element x y z (fractional)
Si  0.1527  0.2500  0.2001
Si  0.1968  0.0818  0.6311
Si  0.1968  0.4182  0.6311
Si  0.3032  0.5818  0.1311
Si  0.3032  0.9182  0.1311
Si  0.3473  0.7500  0.7001
Si  0.6527  0.2500  0.2999
Si  0.6968  0.0818  0.8689
Si  0.6968  0.4182  0.8689
Si  0.8032  0.5818  0.3689
Si  0.8032  0.9182  0.3689
Si  0.8473  0.7500  0.7999
C  0.0215  0.2500  0.8642
C  0.4785  0.7500  0.3642
C  0.5215  0.2500  0.6358
C  0.9785  0.7500  0.1358

***

Record 2
Computed, not measured: crystalline ScRh2W at its relaxed geometry at the PBE level of DFT.

Output
Formation energy from the elements, meV per atom: -28
Fermi-level density of states, states/eV/cell: 5.37
M_tot, μB/cell: 0.38
Offset from the most stable computed form, kJ per mole of atoms: 39.7
V, Å³/cell: 65.3

Cell: 9.1110 9.1110 9.1110 Å, 18.32 18.32 18.32°
Element x y z (fractional)
Sc  0.0000  0.0000  0.0000
Rh  0.2554  0.2554  0.2554
Rh  0.5011  0.5011  0.5011
W  0.7584  0.7584  0.7584

***

Record 3
Computed, not measured: crystalline InW at its relaxed geometry at the PBE level of DFT.

Output
Formation energy from the elements, meV per atom: 2701
Fermi-level density of states, states/eV/cell: 4.54
M_tot, μB/cell: 1.47
Offset from the most stable computed form, kJ per mole of atoms: 221.8
V, Å³/cell: 60.6

Cell: 4.4093 4.4093 4.4093 Å, 60.00 60.00 60.00°
Element x y z (fractional)
In  0.0000  0.0000  0.0000
W  0.7500  0.7500  0.7500

***

Record 4
Computed, not measured: crystalline Cd4Au5 at its relaxed geometry at the PBE level of DFT.

Output
Formation energy from the elements, meV per atom: -158
Fermi-level density of states, states/eV/cell: 1.65
M_tot, μB/cell: 0.00
Offset from the most stable computed form, kJ per mole of atoms: 0.0
V, Å³/cell: 173.1

Cell: 4.4170 4.9977 8.9028 Å, 78.23 88.96 64.49°
Element x y z (fractional)
Cd  0.0094  0.4789  0.3342
Cd  0.3380  0.8232  0.1121
Cd  0.6620  0.1768  0.8879
Cd  0.9906  0.5211  0.6658
Au  0.0000  0.5000  0.0000
Au  0.3233  0.8536  0.7773
Au  0.3386  0.8243  0.4455
Au  0.6614  0.1757  0.5545
Au  0.6767  0.1464  0.2227

***

Record 5
Computed, not measured: crystalline ZnReTc4 at its relaxed geometry at the PBE level of DFT.

Output
Formation energy from the elements, meV per atom: 380
Fermi-level density of states, states/eV/cell: 5.38
M_tot, μB/cell: 0.00
Offset from the most stable computed form, kJ per mole of atoms: 16.5
V, Å³/cell: 92.2

Cell: 5.0708 5.0708 5.0708 Å, 60.00 60.00 60.00°
Element x y z (fractional)
Zn  0.0000  0.0000  0.0000
Re  0.7500  0.7500  0.7500
Tc  0.3741  0.3741  0.3741
Tc  0.3741  0.3741  0.8776
Tc  0.3741  0.8776  0.3741
Tc  0.8776  0.3741  0.3741

***

Record 6
Computed, not measured: crystalline InGaAu5 at its relaxed geometry at the PBE level of DFT.

Output
Formation energy from the elements, meV per atom: -94
Fermi-level density of states, states/eV/cell: 1.79
M_tot, μB/cell: 0.00
V, Å³/cell: 135.3

Cell: 4.3786 4.3786 7.0563 Å, 90.00 90.00 90.00°
Element x y z (fractional)
In  0.0000  0.0000  0.0000
Ga  0.0000  0.0000  0.5000
Au  0.0000  0.5000  0.2859
Au  0.0000  0.5000  0.7141
Au  0.5000  0.0000  0.2859
Au  0.5000  0.0000  0.7141
Au  0.5000  0.5000  0.0000